Compound: ReBiNO
Source: OQMD
Functional: PBE
Structure: optimized geometry

Calculated values
As for the relative energy among the computed polymorphs: 73 meV/atom.

a b c (Å): 3.091 6.375 6.627
angles (deg): 90.00 90.00 90.00
Space group Pmc2_1 (No. 26)
One atom of each set of equivalent atoms:
Re  0.000  0.090  0.000
Bi  0.500  0.308  0.465
N  0.000  0.108  0.726
O  0.500  0.265  0.109

=====

Compound: ReBiNO
Source: OQMD
Functional: PBE
Structure: optimized geometry

Calculated values
As for the relative energy among the computed polymorphs: 652 meV/atom.

a b c (Å): 4.368 4.368 6.312
angles (deg): 90.00 90.00 90.00
Space group P4/nmm (No. 129, origin choice 2)
One atom of each set of equivalent atoms:
Re  0.250  0.250  0.024
Bi  0.250  0.750  0.500
N  0.250  0.250  0.746
O  0.250  0.750  0.000

=====

Compound: ReBiNO
Source: OQMD
Functional: PBE
Structure: optimized geometry

Calculated values
As for the relative energy among the computed polymorphs: 0 meV/atom.

a b c (Å): 3.253 5.997 7.105
angles (deg): 90.00 90.00 90.00
Space group Pmc2_1 (No. 26)
One atom of each set of equivalent atoms:
Re  0.000  0.044  0.000
Bi  0.500  0.369  0.367
N  0.500  0.194  0.065
O  0.000  0.101  0.739

=====

Compound: ReBiNO
Source: OQMD
Functional: PBE
Structure: optimized geometry

Calculated values
As for the relative energy among the computed polymorphs: 11 meV/atom.

a b c (Å): 6.511 6.665 5.943
angles (deg): 90.00 90.00 90.00
Space group Pca2_1 (No. 29)
One atom of each set of equivalent atoms:
Re  0.112  0.024  0.000
Bi  0.188  0.614  0.874
N  0.137  0.032  0.669
O  0.031  0.317  0.023

=====

Compound: SmBiN2O
Source: OQMD
Functional: PBE
Structure: optimized geometry

Calculated values
The total DFT energy (no corrections) comes out at -33.05 eV/f.u.

a b c (Å): 6.7305 6.7305 12.3208
angles (deg): 90.00 90.00 120.00
Space group P6_3cm (No. 185)
One atom of each set of equivalent atoms:
Sm  0.0000  0.0000  0.0000
Sm  0.3333  0.6667  0.4688
Bi  0.0000  0.3334  0.2334
N  0.0000  0.3103  0.3990
N  0.0000  0.3584  0.0687
O  0.0000  0.0000  0.2041
O  0.3333  0.6667  0.2599

=====

Compound: SmBiN2O
Source: OQMD
Functional: PBE
Structure: optimized geometry

Calculated values
The total DFT energy (no corrections) comes out at -32.81 eV/f.u.

a b c (Å): 3.787 3.941 5.300
angles (deg): 90.00 90.23 90.00
Space group Pm (No. 6)
One atom of each set of equivalent atoms:
Sm  0.000  0.000  0.000
Bi  0.502  0.500  0.453
N  0.001  0.500  0.265
N  0.509  0.500  0.846
O  0.501  0.000  0.270

=====

Compound: SmBiN2O
Source: OQMD
Functional: PBE
Structure: optimized geometry

Calculated values
The total DFT energy (no corrections) comes out at -33.32 eV/f.u.

a b c (Å): 5.948 8.513 5.753
angles (deg): 90.00 90.00 90.00
Space group Pnma (No. 62)
One atom of each set of equivalent atoms:
Sm  0.063  0.250  0.023
Bi  0.000  0.000  0.500
N  0.199  0.570  0.804
O  0.055  0.750  0.365

=====

Compound: SmBiN2O
Source: OQMD
Functional: PBE
Structure: optimized geometry

Calculated values
The total DFT energy (no corrections) comes out at -31.65 eV/f.u.

a b c (Å): 5.927 4.045 6.177
angles (deg): 90.00 90.00 90.00
Space group Pmma (No. 51)
One atom of each set of equivalent atoms:
Sm  0.250  0.000  0.205
Bi  0.250  0.500  0.733
N  0.000  0.500  0.500
N  0.250  0.000  0.833
O  0.000  0.500  0.000

=====

Compound: SmBiN2O
Source: OQMD
Functional: PBE
Structure: optimized geometry

Calculated values
The total DFT energy (no corrections) comes out at -33.01 eV/f.u.

a b c (Å): 5.866 5.941 10.212
angles (deg): 74.69 73.39 60.63
Space group P1 (No. 1)
One atom of each set of equivalent atoms:
Sm  0.000  0.000  0.000
Sm  0.156  0.243  0.269
Sm  0.453  0.508  0.511
Sm  0.671  0.767  0.744
Bi  0.041  0.137  0.632
Bi  0.342  0.365  0.898
Bi  0.576  0.642  0.125
Bi  0.826  0.864  0.376
N  0.038  0.513  0.528
N  0.157  0.868  0.216
N  0.429  0.630  0.957
N  0.610  0.986  0.991
N  0.634  0.385  0.718
N  0.722  0.622  0.305
N  0.873  0.111  0.476
N  0.999  0.375  0.052
O  0.076  0.755  0.753
O  0.234  0.139  0.787
O  0.455  0.900  0.543
O  0.551  0.249  0.267

=====

Compound: SmBiN2O
Source: OQMD
Functional: PBE
Structure: optimized geometry

Calculated values
The total DFT energy (no corrections) comes out at -33.01 eV/f.u.

a b c (Å): 8.255 8.431 5.884
angles (deg): 90.00 134.06 90.00
Space group C2/m (No. 12)
One atom of each set of equivalent atoms:
Sm  0.223  0.000  0.455
Bi  0.250  0.250  0.000
N  0.000  0.177  0.000
N  0.126  0.500  0.846
O  0.000  0.165  0.500

=====

Compound: SmBiN2O
Source: OQMD
Functional: PBE
Structure: optimized geometry

Calculated values
The total DFT energy (no corrections) comes out at -33.24 eV/f.u.

a b c (Å): 8.130 5.856 6.102
angles (deg): 90.00 90.00 90.00
Space group Pmc2_1 (No. 26)
One atom of each set of equivalent atoms:
Sm  0.000  0.231  0.000
Sm  0.500  0.258  0.118
Bi  0.253  0.266  0.563
N  0.000  0.370  0.622
N  0.302  0.419  0.883
N  0.500  0.119  0.494
O  0.182  0.055  0.263

=====

Compound: SmBiN2O
Source: OQMD
Functional: PBE
Structure: optimized geometry

Calculated values
The total DFT energy (no corrections) comes out at -33.45 eV/f.u.

a b c (Å): 7.808 8.667 8.846
angles (deg): 86.08 89.12 88.70
Space group P1 (No. 1)
One atom of each set of equivalent atoms:
Sm  0.000  0.000  0.000
Sm  0.012  0.550  0.081
Sm  0.429  0.022  0.587
Sm  0.463  0.457  0.517
Sm  0.488  0.590  0.075
Sm  0.522  0.026  0.005
Sm  0.939  0.498  0.510
Sm  0.951  0.048  0.592
Bi  0.226  0.292  0.831
Bi  0.227  0.798  0.339
Bi  0.233  0.729  0.777
Bi  0.234  0.239  0.269
Bi  0.717  0.809  0.323
Bi  0.719  0.318  0.815
Bi  0.724  0.250  0.254
Bi  0.726  0.756  0.760
N  0.178  0.028  0.412
N  0.251  0.145  0.055
N  0.267  0.514  0.911
N  0.352  0.724  0.546
N  0.466  0.829  0.210
N  0.474  0.826  0.842
N  0.477  0.222  0.749
N  0.485  0.219  0.382
N  0.600  0.324  0.046
N  0.684  0.533  0.681
N  0.700  0.903  0.537
N  0.772  0.019  0.180
N  0.963  0.296  0.922
N  0.975  0.347  0.286
N  0.976  0.700  0.306
N  0.988  0.751  0.670
O  0.161  0.780  0.019
O  0.173  0.034  0.760
O  0.181  0.366  0.591
O  0.282  0.500  0.261
O  0.669  0.548  0.331
O  0.770  0.681  0.001
O  0.779  0.014  0.832
O  0.790  0.268  0.572

=====

Q: Number 1 is which compound?
A: ReBiNO